A relaxed structure of InCo3Ru. Source: Alexandria via LeMat-Bulk, functional PBE.

Output
As for the crystal system: cubic. The symmetry is Pm-3m. Its total energy is -4.741 eV/atom. The calculation puts the energy relative to the elements at 1.925 eV/atom. The calculation puts the relative energy among the computed polymorphs at 698 meV per atom.

abc: 4.5728 4.5728 4.5728
angles: 90.00 90.00 90.00
Element x y z (fractional)
Ru: 0.5000 0.5000 0.5000
Co: 0.0000 0.5000 0.0000
Co: 0.0000 0.0000 0.5000
Co: 0.5000 0.0000 0.0000
In: 0.0000 0.0000 0.0000